First-principles (PBE) data for Ce2AlAu after structural relaxation, as listed in Alexandria via LeMat-Bulk.

Calculated values
The value obtained for the electronic total energy is -18.685 eV for the cell shown. As for the energy of formation from the pure elements: 51 meV/atom. Its volume is 93 Å³ per cell.

Structure (extended XYZ):
```
4
Lattice="3.056 0.000 0.000 1.528 2.647 0.000 1.528 0.882 11.476" Properties=species:S:1:pos:R:3 pbc="T T T"
Au 3.056 1.764 5.738
Al 0.000 0.000 0.000
Ce 1.528 0.882 8.387
Ce 4.584 2.647 3.088
```

First-principles (PBE) data for Ho4P2S after structural relaxation, as listed in Alexandria via LeMat-Bulk.

Calculated values
The value obtained for the electronic total energy is -84.477 eV for the cell shown. The calculation puts the energy relative to the elements, uncorrected at -1283 meV per atom. Its volume is 332 Å³ per cell.

Structure (extended XYZ):
```
14
Lattice="-0.855 -7.484 -0.600 7.308 1.865 -0.456 -2.559 2.420 6.685" Properties=species:S:1:pos:R:3 pbc="T T T"
Ho -0.563 -4.957 1.666
Ho 3.002 -3.611 2.369
Ho 2.845 0.303 1.848
Ho 2.506 1.868 5.377
Ho -0.650 -1.186 2.338
Ho -0.990 0.379 5.867
Ho -2.001 -3.190 4.746
Ho 1.564 -1.845 5.449
P 1.780 -4.611 0.215
P 4.582 1.274 3.629
P 0.928 0.341 3.857
P 0.500 -3.401 3.558
S 4.414 -1.738 1.030
S 0.000 0.000 0.000
```

First-principles (PBE) data for InFeMoI2 after structural relaxation, as listed in Alexandria via LeMat-Bulk.

Calculated values
The value obtained for the electronic total energy is -20.801 eV for the cell shown. The calculation puts the energy relative to the elements, uncorrected at 866 meV per atom. Its volume is 143 Å³ per cell.

Structure (extended XYZ):
```
5
Lattice="5.510 0.000 0.000 0.000 4.706 0.000 0.000 0.000 5.510" Properties=species:S:1:pos:R:3 pbc="T T T"
I 0.000 0.000 2.755
I 2.755 0.000 0.000
Mo 0.000 2.353 0.000
Fe 0.000 0.000 0.000
In 2.755 2.353 2.755
```